1.
Here is an optimized crystal structure of Li2LaFe from Alexandria. Energies are from PBE.

Computed properties:
* energy of formation: 1.51 eV/f.u.
* calculated volume: 75.7 Å³ per cell
* space group: Pmmm, No. 47
* energy: -0.1443 hartree per atom
* density of states at the Fermi level: 4.1 states/eV/cell
* E above lowest polymorph: 155 meV/atom

Lattice parameters (Å, degrees): 2.9434 4.7508 5.4168 90.00 90.00 90.00
Each line ends with the local moment (μB).
Fractional positions:
La (0.5000, 0.5000, 0.7500)  -0.17
Fe (0.5000, 0.5000, 0.2500)  2.25
Li (0.0000, 0.0000, 0.4579)  -0.03
Li (0.0000, 0.0000, 0.0421)  -0.03

***

2.
Here is an optimized crystal structure of Li2LaFe from Alexandria. Energies are from PBE.

Computed properties:
* energy of formation: 2.00 eV/f.u.
* calculated volume: 82.9 Å³ per cell
* space group: Cmmm, No. 65
* energy: -0.1398 hartree per atom
* density of states at the Fermi level: 4.6 states/eV/cell
* E above lowest polymorph: 278 meV/atom

Lattice parameters (Å, degrees): 2.9567 2.9567 10.4193 90.00 90.00 114.55
Each line ends with the local moment (μB).
Fractional positions:
Fe (0.5000, 0.5000, 0.2500)  2.91
La (0.5000, 0.5000, 0.7500)  0.02
Li (0.0000, 0.0000, 0.0442)  -0.03
Li (0.0000, 0.0000, 0.4558)  -0.03

***

3.
Here is an optimized crystal structure of LiLa3Fe from Alexandria. Energies are from PBE.

Computed properties:
* energy of formation: 0.31 eV/f.u.
* calculated volume: 155.6 Å³ per cell
* space group: Pm-3m, No. 221
* energy: -0.1826 hartree per atom
* density of states at the Fermi level: 5.1 states/eV/cell
* E above lowest polymorph: 0 meV/atom

Lattice parameters (Å, degrees): 5.3780 5.3780 5.3780 90.00 90.00 90.00
Fractional positions:
La (0.0000, 0.5000, 0.0000)
La (0.5000, 0.0000, 0.0000)
La (0.0000, 0.0000, 0.5000)
Fe (0.0000, 0.0000, 0.0000)
Li (0.5000, 0.5000, 0.5000)